Density functional theory data (PBE-GGA) for Ho4B2Br5 after structural relaxation.

Geometry as extended XYZ:
```
11
Lattice="-0.164 -2.917 -2.501 7.932 -0.359 -0.100 -4.087 -5.001 9.058" Properties=species:S:1:pos:R:3 pbc="T T T"
Ho 2.378 -0.108 -0.030
Ho 3.823 -3.633 1.030
Ho 5.554 -0.252 -0.070
Ho -0.142 -4.645 5.427
B -0.187 -6.127 7.159
B 3.868 -2.151 -0.702
Br -2.276 -5.858 4.025
Br 1.838 -6.044 3.973
Br 1.843 -2.233 2.484
Br 5.957 -2.420 2.432
Br -0.082 -1.459 -1.250
```

Properties
- Energy: -4.8570 eV/atom
- DOS(E_F): 3.89 states/eV/cell